A | Er8Cd2Co: relaxed, PBE.

Summary:
V   292.5 Å³/cell
Space-group type   C2/m, No. 12
Crystal system   monoclinic
D(E_F)   0.865 states/eV/atom

a b c (Å): 5.3408 6.8000 9.0081
angles (deg): 109.60 107.24 90.00
Last column: nearest neighbours and their distance in Å.
Atoms (fractional coordinates):
Er  0.4078  0.5880  0.8156  1 Co 2.69
Er  0.6462  0.9431  0.2925  1 Co 2.68
Er  0.8023  0.7215  0.6047  3 Cd 3.00-3.35
Er  0.9812  0.2164  0.9624  1 Cd 3.05, 2 Co 3.12, 5 Er 3.23-3.38
Er  0.1977  0.2785  0.3953  3 Cd 3.00-3.35
Er  0.3538  0.0569  0.7075  1 Co 2.68
Er  0.5922  0.4120  0.1844  1 Co 2.69
Er  0.0188  0.7836  0.0376  1 Cd 3.05, 2 Co 3.12, 5 Er 3.23-3.38
Cd  0.8173  0.2945  0.6345  7 Er 3.00-3.35
Cd  0.1827  0.7055  0.3655  7 Er 3.00-3.35
Co  0.5000  0.0000  0.0000  4 Er 2.68-2.69

B | Er8Cd2Co: relaxed, PBE.

Summary:
V   301.6 Å³/cell
Space-group type   Cm, No. 8
Crystal system   monoclinic
D(E_F)   1.081 states/eV/atom

a b c (Å): 6.0932 8.6867 8.6867
angles (deg): 128.55 103.67 103.67
Last column: nearest neighbours and their distance in Å.
Atoms (fractional coordinates):
Er  0.6547  0.3705  0.1536  1 Co 2.69
Er  0.6547  0.1536  0.3705  1 Co 2.69
Er  0.1621  0.2830  0.2830  1 Co 2.52
Er  0.9882  0.1979  0.8088  4 Cd 3.32-3.41, 6 Er 3.49-3.67, 1 Co 3.49
Er  0.9882  0.8088  0.1979  4 Cd 3.32-3.41, 6 Er 3.49-3.67, 1 Co 3.49
Er  0.7700  0.7377  0.7377  1 Co 2.57
Er  0.2729  0.8399  0.6237  1 Co 2.67
Er  0.2729  0.6237  0.8399  1 Co 2.67
Cd  0.4839  0.7212  0.2940  8 Er 3.05-3.41
Cd  0.4839  0.2940  0.7212  8 Er 3.05-3.41
Co  0.2683  0.0036  0.0036  6 Er 2.52-2.69

Stability, lowest: B

A | Er6Cd2Co: relaxed, PBE.

Summary:
V   234.3 Å³/cell
Space-group type   Amm2, No. 38
Crystal system   orthorhombic
D(E_F)   1.311 states/eV/atom

a b c (Å): 3.6064 8.6981 8.6433
angles (deg): 120.21 90.00 90.00
Last column: nearest neighbours and their distance in Å.
Atoms (fractional coordinates):
Er  0.5000  0.6014  0.0000  4 Cd 3.21, 4 Er 3.49, 1 Co 3.53
Er  0.5000  0.3947  0.3966  4 Cd 3.20-3.22, 1 Co 3.39, 4 Er 3.49-3.50
Er  0.5000  0.9981  0.6034  4 Cd 3.20-3.22, 1 Co 3.39, 4 Er 3.49-3.50
Er  0.0000  0.2368  0.0000  2 Co 2.69
Er  0.0000  0.7673  0.7692  2 Co 2.72
Er  0.0000  0.9981  0.2308  2 Co 2.72
Cd  0.0000  0.3309  0.6655  9 Er 3.20-3.43
Cd  0.0000  0.6654  0.3345  9 Er 3.20-3.43
Co  0.5000  0.0074  0.0000  6 Er 2.69-2.72

B | Er6Cd2Co: relaxed, PBE.

Summary:
V   490.4 Å³/cell
Space-group type   P2_1/c, No. 14
Crystal system   monoclinic
D(E_F)   0.884 states/eV/atom

a b c (Å): 7.1555 7.0705 9.6938
angles (deg): 90.00 90.74 90.00
Last column: nearest neighbours and their distance in Å.
Atoms (fractional coordinates):
Er  0.9299  0.9999  0.2461  1 Co 2.51
Er  0.7503  0.7479  0.5392  1 Co 2.56
Er  0.7515  0.7505  0.9609  1 Co 2.56
Er  0.7485  0.2505  0.5391  1 Co 2.56
Er  0.7497  0.2479  0.9608  1 Co 2.56
Er  0.5701  0.4999  0.2539  1 Co 2.51
Er  0.0701  0.0001  0.7539  1 Co 2.51
Er  0.2497  0.2521  0.4608  1 Co 2.56
Er  0.2485  0.2495  0.0391  1 Co 2.56
Er  0.2515  0.7495  0.4609  1 Co 2.56
Er  0.2503  0.7521  0.0392  1 Co 2.56
Er  0.4299  0.5001  0.7461  1 Co 2.51
Cd  0.0016  0.4988  0.7553  5 Er 3.07-3.26
Cd  0.4984  0.9988  0.7447  5 Er 3.07-3.26
Cd  0.5016  0.0012  0.2553  5 Er 3.07-3.26
Cd  0.9984  0.5012  0.2447  5 Er 3.07-3.26
Co  0.5000  0.5000  0.0000  6 Er 2.51-2.56
Co  0.0000  0.0000  0.5000  6 Er 2.51-2.56

Stability, lowest: B

A | ErScCdCo: relaxed, PBE.

Summary:
V   81.3 Å³/cell
Space-group type   F-43m, No. 216
Crystal system   cubic
D(E_F)   0.550 states/eV/atom

a b c (Å): 4.8626 4.8626 4.8626
angles (deg): 60.00 60.00 60.00
Last column: nearest neighbours and their distance in Å.
Atoms (fractional coordinates):
Sc  0.5000  0.5000  0.5000  4 Cd 2.98, 4 Co 2.98
Cd  0.7500  0.7500  0.7500  4 Sc 2.98, 4 Er 2.98
Co  0.2500  0.2500  0.2500  4 Er 2.98, 4 Sc 2.98
Er  0.0000  0.0000  0.0000  4 Co 2.98, 4 Cd 2.98

B | ErScCdCo: relaxed, PBE.

Summary:
V   80.6 Å³/cell
Space-group type   P4mm, No. 99
Crystal system   tetragonal
D(E_F)   0.603 states/eV/atom

a b c (Å): 3.2951 3.2951 7.4262
angles (deg): 90.00 90.00 90.00
Last column: nearest neighbours and their distance in Å.
Atoms (fractional coordinates):
Er  0.5000  0.5000  0.7823  4 Co 2.89, 1 Sc 3.13
Sc  0.5000  0.5000  0.3608  4 Co 2.73
Cd  0.0000  0.0000  0.0888  4 Sc 3.08, 4 Er 3.26, 4 Cd 3.30, 1 Co 3.45
Co  0.0000  0.0000  0.5528  4 Sc 2.73, 4 Er 2.89

Stability, lowest: A

A | SmErCdCo: relaxed, PBE.

Summary:
V   91.9 Å³/cell
Space-group type   F-43m, No. 216
Crystal system   cubic
D(E_F)   0.634 states/eV/atom

a b c (Å): 5.0662 5.0662 5.0662
angles (deg): 60.00 60.00 60.00
Last column: nearest neighbours and their distance in Å.
Atoms (fractional coordinates):
Cd  0.0000  0.0000  0.0000  4 Sm 3.10, 4 Er 3.10
Co  0.5000  0.5000  0.5000  4 Er 3.10, 4 Sm 3.10
Sm  0.7500  0.7500  0.7500  4 Co 3.10, 4 Cd 3.10
Er  0.2500  0.2500  0.2500  4 Cd 3.10, 4 Co 3.10

B | SmErCdCo: relaxed, PBE.

Summary:
V   91.5 Å³/cell
Space-group type   P4mm, No. 99
Crystal system   tetragonal
D(E_F)   0.718 states/eV/atom

a b c (Å): 3.4428 3.4428 7.7155
angles (deg): 90.00 90.00 90.00
Last column: nearest neighbours and their distance in Å.
Atoms (fractional coordinates):
Sm  0.5000  0.5000  0.7835  4 Co 2.98, 1 Er 3.27
Er  0.5000  0.5000  0.3592  4 Co 2.88
Cd  0.0000  0.0000  0.0824  4 Er 3.24, 4 Sm 3.35, 4 Cd 3.44
Co  0.0000  0.0000  0.5597  4 Er 2.88, 4 Sm 2.98

Stability, lowest: A